Entry 1:
Computed, not measured: a relaxed structure of Te2AsS at the PBE-GGA level of DFT.

Computed properties:
E above lowest polymorph = 0.85 eV/f.u.
uncorrected formation energy = 0.48 eV per atom
V = 24.440 Å³/atom
magnetization = 0.0 μB per formula unit
crystal system = trigonal

Lattice parameters (Å, degrees): 10.112 10.112 10.112 19.20 19.20 19.20
Positions (direct):
Te1 0.095 0.095 0.095
As1 0.000 0.000 0.000
S1 0.500 0.500 0.500
Te2 0.905 0.905 0.905


Entry 2:
Computed, not measured: a relaxed structure of CeYAl at the PBE-GGA level of DFT.

Computed properties:
E above lowest polymorph = 0.00 eV/f.u.
V = 25.696 Å³/atom
magnetization = 0.0 μB per formula unit
calculated formation energy = -0.207 eV/atom
crystal system = monoclinic

Lattice parameters (Å, degrees): 3.714 3.714 12.526 71.19 71.19 88.86
Positions (direct):
Al1 0.960 0.960 0.270
Ce1 0.721 0.721 0.568
Ce2 0.279 0.279 0.432
Al2 0.040 0.040 0.730
Y1 0.632 0.632 0.113
Y2 0.368 0.368 0.887


The lowest E above lowest polymorph belongs to which entry?
CeYAl